No. 1
Entry from Alexandria: an optimized crystal structure of Al2SiMo (GGA-PBE).

Lattice parameters (Å, degrees): 4.9811 4.9811 4.5537 85.78 85.78 32.32
With the nearest neighbours (Å) after each atom.
Fractional coordinates of all 4 atoms:
Al 0.0086 0.0086 0.9957  6 Al 2.65-2.77, 1 Si 2.66, 3 Mo 2.79-2.85
Al 0.4914 0.4914 0.5043  6 Al 2.65-2.77, 1 Si 2.66, 3 Mo 2.79-2.85
Mo 0.7500 0.7500 0.7500  4 Si 2.67, 2 Mo 2.77, 6 Al 2.79-2.85
Si 0.2500 0.2500 0.2500  2 Al 2.66, 4 Mo 2.67, 2 Si 2.77

=====

No. 2
Entry from Alexandria: an optimized crystal structure of AlSi2Mo (GGA-PBE).

Lattice parameters (Å, degrees): 4.3428 4.3428 4.3428 60.00 60.00 60.00
With the nearest neighbours (Å) after each atom.
Fractional coordinates of all 4 atoms:
Si 0.2500 0.2500 0.2500  4 Si 2.66, 4 Al 2.66
Si 0.0000 0.0000 0.0000  4 Mo 2.66, 4 Si 2.66
Al 0.5000 0.5000 0.5000  4 Mo 2.66, 4 Si 2.66
Mo 0.7500 0.7500 0.7500  4 Al 2.66, 4 Si 2.66

=====

No. 3
Entry from Alexandria: an optimized crystal structure of AlSiMo2 (GGA-PBE).

Summary:
Energy relative to the lowest polymorph listed for this composition (meV/atom): 131

Lattice parameters (Å, degrees): 4.1674 3.0350 4.8930 71.98 90.00 90.00
With the nearest neighbours (Å) after each atom.
Fractional coordinates of all 4 atoms:
Al 0.5000 0.5440 0.7883  7 Mo 2.52-2.65, 2 Si 2.58
Si 0.0000 0.7062 0.4612  7 Mo 2.52-2.65, 2 Al 2.58
Mo 0.0000 0.9778 0.9206  3 Si 2.52-2.62, 4 Al 2.65
Mo 0.5000 0.2720 0.3298  3 Al 2.52-2.62, 4 Si 2.65

=====

No. 4
Entry from Alexandria: an optimized crystal structure of Al2SiMo (GGA-PBE).

Lattice parameters (Å, degrees): 2.7675 2.7675 8.1436 90.00 90.00 101.59
With the nearest neighbours (Å) after each atom.
Fractional coordinates of all 4 atoms:
Al 0.0000 0.0000 0.9997  4 Si 2.68-2.96, 4 Mo 2.69-2.96, 4 Al 2.77
Al 0.0000 0.0000 0.5003  4 Si 2.68-2.96, 4 Mo 2.69-2.96, 4 Al 2.77
Mo 0.5000 0.5000 0.2500  8 Al 2.69-2.96, 4 Mo 2.77
Si 0.5000 0.5000 0.7500  8 Al 2.68-2.96, 4 Si 2.77

=====

| no. | raw formation energy (eV per atom) |
| --- | --- |
| 1 | -0.07 |
| 2 | 0.37 |
| 3 | -0.17 |
| 4 | 0.04 |